(P)
The following is a DFT calculation (PBE) of Sr3Br4 after structural relaxation.

Values from the calculation:
M_tot ... 0.00 μB per atom
Calculated density ... 3.72 g/cm3

Cell lengths 3.9698, 3.9698, 33.0069 Å; angles 90.00, 90.00, 90.00 degrees
Closest atoms and distances in Å follow each position.
Space group I4/mmm (No. 139)
Asymmetric unit:
Sr (0.0000, 0.0000, 0.0000)  8 Br 3.29
Sr (0.0000, 0.0000, 0.3024)  4 Br 3.18
Br (0.0000, 0.0000, 0.1527)  4 Sr 3.18
Br (0.0000, 0.0000, 0.4482)  4 Sr 3.29, 1 Br 3.42

(Q)
The following is a DFT calculation (PBE) of Sr3Br4 after structural relaxation.

Values from the calculation:
M_tot ... 0.07 μB per atom
Calculated density ... 3.72 g/cm3

Cell lengths 7.1709, 7.1709, 5.8401 Å; angles 90.00, 90.00, 120.00 degrees
Closest atoms and distances in Å follow each position.
Space group P6/mmm (No. 191)
Asymmetric unit:
Sr (0.0000, 0.5000, 0.0000)  8 Br 3.58-3.87, 4 Sr 3.59
Br (0.0000, 0.0000, 0.2513)  2 Br 2.90-2.94
Br (0.3333, 0.6667, 0.5000)  6 Sr 3.58

Of all the structures shown, which is most stable? (P), and (Q) is the least stable.